No. 1
Here is a geometry-optimized La2MgAu structure from Alexandria. Energies are from PBE.

a b c (Å): 3.931 4.741 6.557
angles (deg): 90.00 107.34 90.00
Space group Pm (No. 6)
Symmetry-distinct sites (fractional):
La (0.000, 0.000, 0.000) [1 per cell]
La (0.314, 0.500, 0.628) [1 per cell]
Mg (0.597, 0.500, 0.194) [1 per cell]
Au (0.729, 0.000, 0.456) [1 per cell]

Summary:
Calculated density   7.10 g cm⁻³
Formation energy   -0.39 eV/atom
E_tot   -16.3 eV per cell

No. 2
Here is a geometry-optimized Mg2ScCd structure from Alexandria. Energies are from PBE.

a b c (Å): 10.465 3.222 5.510
angles (deg): 90.00 102.25 90.00
Space group Cm (No. 8)
Symmetry-distinct sites (fractional):
Mg (0.000, 0.000, 0.000) [2 per cell]
Mg (0.246, 0.000, 0.770) [2 per cell]
Sc (0.258, 0.500, 0.275) [2 per cell]
Cd (0.008, 0.500, 0.505) [2 per cell]

Summary:
Calculated density   3.77 g cm⁻³
Formation energy   -0.07 eV/atom
E_tot   -21.4 eV per cell

No. 3
Here is a geometry-optimized Y2ScBeN structure from Alexandria. Energies are from PBE.

a b c (Å): 4.785 4.785 4.323
angles (deg): 90.00 90.00 90.00
Space group P4/mmm (No. 123)
Symmetry-distinct sites (fractional):
Y (0.000, 0.500, 0.000) [2 per cell]
Sc (0.000, 0.000, 0.500) [1 per cell]
Be (0.500, 0.500, 0.500) [1 per cell]
N (0.000, 0.000, 0.000) [1 per cell]

Summary:
Calculated density   4.12 g cm⁻³
Energy relative to the elements, uncorrected   -0.633 eV per atom
E_tot   -34.5 eV per cell

No. 4
Here is a geometry-optimized RbScTa2Fe structure from Alexandria. Energies are from PBE.

a b c (Å): 4.878 4.878 5.411
angles (deg): 90.00 90.00 90.00
Space group P4/mmm (No. 123)
Symmetry-distinct sites (fractional):
Rb (0.000, 0.000, 0.000) [1 per cell]
Sc (0.000, 0.000, 0.500) [1 per cell]
Ta (0.000, 0.500, 0.500) [2 per cell]
Fe (0.500, 0.500, 0.000) [1 per cell]

Summary:
Calculated density   7.07 g cm⁻³
Formation energy   2.59 eV/atom
E_tot   -26.5 eV per cell

No. 5
Here is a geometry-optimized Ho3Cu2Ni3 structure from Alexandria. Energies are from PBE.

a b c (Å): 7.129 14.861 5.348
angles (deg): 90.00 90.00 90.00
Space group Pnma (No. 62)
Symmetry-distinct sites (fractional):
Ho (0.031, 0.103, 0.136) [8 per cell]
Ho (0.171, 0.250, 0.617) [4 per cell]
Cu (0.119, 0.611, 0.366) [8 per cell]
Ni (0.178, 0.031, 0.586) [8 per cell]
Ni (0.185, 0.750, 0.621) [4 per cell]

Summary:
Calculated density   9.36 g cm⁻³
Formation energy   -0.35 eV/atom
E_tot   -168.4 eV per cell

No. 6
Here is a geometry-optimized Tc2TeMo structure from Alexandria. Energies are from PBE.

a b c (Å): 3.022 4.154 5.329
angles (deg): 90.00 90.22 90.00
Space group Pm (No. 6)
Symmetry-distinct sites (fractional):
Tc (0.000, 0.000, 0.000) [1 per cell]
Tc (0.498, 0.500, 0.765) [1 per cell]
Te (0.497, 0.500, 0.261) [1 per cell]
Mo (0.997, 0.000, 0.540) [1 per cell]

Summary:
Calculated density   10.42 g cm⁻³
Energy relative to the elements, uncorrected   0.392 eV per atom
E_tot   -33.1 eV per cell

No. 7
Here is a geometry-optimized Th3CoBiOs structure from Alexandria. Energies are from PBE.

a b c (Å): 8.546 4.295 9.718
angles (deg): 90.00 114.21 90.00
Space group P2_1/m (No. 11)
Symmetry-distinct sites (fractional):
Th (0.153, 0.250, 0.146) [2 per cell]
Th (0.220, 0.750, 0.475) [2 per cell]
Th (0.295, 0.750, 0.871) [2 per cell]
Co (0.016, 0.750, 0.610) [2 per cell]
Bi (0.493, 0.750, 0.277) [2 per cell]
Os (0.065, 0.250, 0.831) [2 per cell]

Summary:
Calculated density   11.78 g cm⁻³
Formation energy   -0.35 eV/atom
E_tot   -93.1 eV per cell

No. 8
Here is a geometry-optimized AcSi3OsRu structure from Alexandria. Energies are from PBE.

a b c (Å): 5.831 11.558 7.208
angles (deg): 90.00 90.00 90.00
Space group Cmcm (No. 63)
Symmetry-distinct sites (fractional):
Ac (0.000, 0.243, 0.250) [4 per cell]
Si (0.000, 0.274, 0.750) [4 per cell]
Si (0.227, 0.000, 0.000) [8 per cell]
Os (0.000, 0.082, 0.750) [4 per cell]
Ru (0.000, 0.463, 0.750) [4 per cell]

Summary:
Calculated density   8.24 g cm⁻³
Energy relative to the elements, uncorrected   -0.442 eV per atom
E_tot   -174.1 eV per cell